1.
First-principles (PBE-GGA) data for crystalline Pa2RhN at its relaxed geometry, as listed in the Alexandria database.

```
Pa2RhN
1.0
1.741 1.005 6.939
-1.741 1.005 6.939
0.000 -2.010 6.939
Pa Rh N
2 1 1
direct
0.235 0.235 0.235
0.765 0.765 0.765
0.000 0.000 0.000
0.500 0.500 0.500
```

Summary:
- calculated volume (Å³ per cell) = 73
- space group = R-3m, No. 166
- ΔE_f (raw) (meV/atom) = -962
- magnetic moment (μB per cell) = 0.00
- total energy (eV for the cell shown) = -38.52
- Fermi-level density of states (states/eV/cell) = 5.0


2.
First-principles (PBE-GGA) data for crystalline Pa2RhN at its relaxed geometry, as listed in the Alexandria database.

```
Pa2RhN
1.0
3.022 0.000 0.000
0.000 3.022 0.000
0.000 0.000 7.270
Pa Rh N
2 1 1
direct
0.000 0.000 0.212
0.000 0.000 0.788
0.500 0.500 0.500
0.500 0.500 0.000
```

Summary:
- calculated volume (Å³ per cell) = 66
- space group = P4/mmm, No. 123
- ΔE_f (raw) (meV/atom) = -644
- magnetic moment (μB per cell) = 0.00
- total energy (eV for the cell shown) = -37.25
- Fermi-level density of states (states/eV/cell) = 3.5


3.
First-principles (PBE-GGA) data for crystalline PaRhN2 at its relaxed geometry, as listed in the Alexandria database.

```
PaRhN2
1.0
1.797 1.038 4.682
-1.797 1.038 4.682
0.000 -2.075 4.682
Pa Rh N
1 1 2
direct
0.000 0.000 0.000
0.500 0.500 0.500
0.256 0.256 0.256
0.744 0.744 0.744
```

Summary:
- calculated volume (Å³ per cell) = 52
- space group = R-3m, No. 166
- ΔE_f (raw) (meV/atom) = -708
- magnetic moment (μB per cell) = 2.01
- total energy (eV for the cell shown) = -36.33
- Fermi-level density of states (states/eV/cell) = 1.1